Version one
Material: Sr2AcPm
Method: DFT, PBE-GGA
State: optimized geometry

Properties
- N(E_F) (states/eV per cell) = 6.6

```
data_Sr2AcPm
_cell_length_a 4.446
_cell_length_b 4.446
_cell_length_c 9.123
_cell_angle_alpha 90.00
_cell_angle_beta 90.00
_cell_angle_gamma 90.00
_space_group_name_H-M_alt 'P 4/m m m'
_space_group_IT_number 123
_space_group_name_Hall '-P 4 2'
loop_
_atom_site_label
_atom_site_type_symbol
_atom_site_fract_x
_atom_site_fract_y
_atom_site_fract_z
Sr1 Sr 0.000 0.000 0.234
Ac1 Ac 0.500 0.500 0.500
Pm1 Pm 0.500 0.500 0.000
```


Version two
Material: Sr2AcPm
Method: DFT, PBE-GGA
State: optimized geometry

Properties
- N(E_F) (states/eV per cell) = 19.5

```
data_Sr2AcPm
_cell_length_a 3.8702
_cell_length_b 3.8702
_cell_length_c 42.2293
_cell_angle_alpha 90.00
_cell_angle_beta 90.00
_cell_angle_gamma 120.00
_space_group_name_H-M_alt 'R -3 m'
_space_group_IT_number 166
_space_group_name_Hall '-R 3 2"'
loop_
_atom_site_label
_atom_site_type_symbol
_atom_site_fract_x
_atom_site_fract_y
_atom_site_fract_z
Sr1 Sr 0.0000 0.0000 0.0861
Ac1 Ac 0.0000 0.0000 0.5000
Pm1 Pm 0.0000 0.0000 0.0000
```


Version three
Material: Sr2AcPm
Method: DFT, PBE-GGA
State: optimized geometry

Properties
- N(E_F) (states/eV per cell) = 6.3

```
data_Sr2AcPm
_cell_length_a 5.456
_cell_length_b 5.456
_cell_length_c 6.013
_cell_angle_alpha 90.00
_cell_angle_beta 90.00
_cell_angle_gamma 90.00
_space_group_name_H-M_alt 'P 4/m m m'
_space_group_IT_number 123
_space_group_name_Hall '-P 4 2'
loop_
_atom_site_label
_atom_site_type_symbol
_atom_site_fract_x
_atom_site_fract_y
_atom_site_fract_z
Sr1 Sr 0.000 0.500 0.000
Ac1 Ac 0.000 0.000 0.500
Pm1 Pm 0.500 0.500 0.500
```


Energy above the most stable structure, in meV/atom: version one 27; version two 108; version three 0


Version one
Material: AcTb6Pm12
Method: DFT, PBE-GGA
State: optimized geometry

Properties
- N(E_F) (states/eV per cell) = 92.4

```
data_AcTb6Pm12
_cell_length_a 12.1952
_cell_length_b 12.1952
_cell_length_c 15.4070
_cell_angle_alpha 90.00
_cell_angle_beta 90.00
_cell_angle_gamma 120.00
_space_group_name_H-M_alt 'R -3'
_space_group_IT_number 148
_space_group_name_Hall '-R 3'
loop_
_atom_site_label
_atom_site_type_symbol
_atom_site_fract_x
_atom_site_fract_y
_atom_site_fract_z
Ac1 Ac 0.0000 0.0000 0.0000
Tb1 Tb 0.0086 0.5856 0.6834
Pm1 Pm 0.0102 0.1789 0.1930
Pm2 Pm 0.0423 0.1941 0.4174
```


Version two
Material: AcTb6Pm12
Method: DFT, PBE-GGA
State: optimized geometry

Properties
- N(E_F) (states/eV per cell) = 108.4

```
data_AcTb6Pm12
_cell_length_a 13.5476
_cell_length_b 13.5476
_cell_length_c 12.6723
_cell_angle_alpha 90.00
_cell_angle_beta 90.00
_cell_angle_gamma 120.00
_space_group_name_H-M_alt 'R -3 m'
_space_group_IT_number 166
_space_group_name_Hall '-R 3 2"'
loop_
_atom_site_label
_atom_site_type_symbol
_atom_site_fract_x
_atom_site_fract_y
_atom_site_fract_z
Ac1 Ac 0.0000 0.0000 0.0000
Tb1 Tb 0.0365 0.5182 0.6199
Pm1 Pm 0.0000 0.2598 0.5000
Pm2 Pm 0.0912 0.1823 0.2636
```


Energy above the most stable structure, in meV/atom: version one 0; version two 53